## Pu3PaP4 (PBE)

Data for an optimized crystal structure of Pu3PaP4.

CIF file:
```
data_Pu3PaP4
_chemical_formula_sum 'Pu3 Pa1 P4'
_symmetry_space_group_name_H-M 'P m -3 m'
_symmetry_Int_Tables_number 221
_symmetry_space_group_name_Hall '-P 4 2 3'
_cell_length_a 5.6433
_cell_length_b 5.6433
_cell_length_c 5.6433
_cell_angle_alpha 90.00
_cell_angle_beta 90.00
_cell_angle_gamma 90.00
loop_
_atom_site_label
_atom_site_type_symbol
_atom_site_fract_x
_atom_site_fract_y
_atom_site_fract_z
Pu1 Pu 0.0000 0.0000 0.5000
Pa1 Pa 0.5000 0.5000 0.5000
P1 P 0.0000 0.0000 0.0000
P2 P 0.0000 0.5000 0.5000
```

Calculated values
Relative energy among the computed polymorphs (meV per atom): 12
E_form (eV/atom): -1.198
Uncorrected energy (eV per atom): -10.46

---

## Zn2InBr (PBE)

Data for an optimized crystal structure of Zn2InBr.

CIF file:
```
data_Zn2InBr
_chemical_formula_sum 'Zn8 In4 Br4'
_symmetry_space_group_name_H-M 'F m -3 m'
_symmetry_Int_Tables_number 225
_symmetry_space_group_name_Hall '-F 4 2 3'
_cell_length_a 7.4562
_cell_length_b 7.4562
_cell_length_c 7.4562
_cell_angle_alpha 90.00
_cell_angle_beta 90.00
_cell_angle_gamma 90.00
loop_
_atom_site_label
_atom_site_type_symbol
_atom_site_fract_x
_atom_site_fract_y
_atom_site_fract_z
Zn1 Zn 0.2500 0.2500 0.2500
In1 In 0.0000 0.0000 0.0000
Br1 Br 0.0000 0.0000 0.5000
```

Calculated values
Relative energy among the computed polymorphs (meV per atom): 273
Formation energy from raw total energies (eV per atom): 0.13
Uncorrected energy (eV per atom): -1.61

---

## PmCu2RhO4 (PBE)

Data for an optimized crystal structure of PmCu2RhO4.

CIF file:
```
data_PmCu2RhO4
_chemical_formula_sum 'Pm2 Cu4 Rh2 O8'
_symmetry_space_group_name_H-M 'I -4 2 m'
_symmetry_Int_Tables_number 121
_symmetry_space_group_name_Hall 'I -4 2'
_cell_length_a 5.5676
_cell_length_b 5.5676
_cell_length_c 6.1383
_cell_angle_alpha 90.00
_cell_angle_beta 90.00
_cell_angle_gamma 90.00
loop_
_atom_site_label
_atom_site_type_symbol
_atom_site_fract_x
_atom_site_fract_y
_atom_site_fract_z
Pm1 Pm 0.0000 0.0000 0.0000
Cu1 Cu 0.0000 0.5000 0.2500
Rh1 Rh 0.0000 0.0000 0.5000
O1 O 0.2288 0.2288 0.7249
```

Calculated values
Formation energy from raw total energies (eV per atom): -1.12
Uncorrected energy (eV per atom): -6.14

---

## CsMgCrTe3 (PBE)

Data for an optimized crystal structure of CsMgCrTe3.

CIF file:
```
data_CsMgCrTe3
_chemical_formula_sum 'Cs2 Mg2 Cr2 Te6'
_symmetry_space_group_name_H-M 'P 1 21/m 1'
_symmetry_Int_Tables_number 11
_symmetry_space_group_name_Hall '-P 2yb'
_cell_length_a 9.5943
_cell_length_b 4.3023
_cell_length_c 11.2120
_cell_angle_alpha 90.00
_cell_angle_beta 114.67
_cell_angle_gamma 90.00
loop_
_atom_site_label
_atom_site_type_symbol
_atom_site_fract_x
_atom_site_fract_y
_atom_site_fract_z
Cs1 Cs 0.2396 0.2500 0.2555
Mg1 Mg 0.0854 0.2500 0.6190
Cr1 Cr 0.3276 0.7500 0.8631
Te1 Te 0.1364 0.2500 0.8761
Te2 Te 0.2343 0.7500 0.5645
Te3 Te 0.4834 0.7500 0.1280
```

Calculated values
Formation energy from raw total energies (eV per atom): -0.66
Uncorrected energy (eV per atom): -4.24

---

## RbNbTe2 (PBE)

Data for an optimized crystal structure of RbNbTe2.

CIF file:
```
data_RbNbTe2
_chemical_formula_sum 'Rb2 Nb2 Te4'
_symmetry_space_group_name_H-M 'C 1 2/m 1'
_symmetry_Int_Tables_number 12
_symmetry_space_group_name_Hall '-C 2y'
_cell_length_a 6.8621
_cell_length_b 3.9645
_cell_length_c 9.0034
_cell_angle_alpha 90.00
_cell_angle_beta 90.07
_cell_angle_gamma 90.00
loop_
_atom_site_label
_atom_site_type_symbol
_atom_site_fract_x
_atom_site_fract_y
_atom_site_fract_z
Rb1 Rb 0.0000 0.0000 0.0000
Nb1 Nb 0.0000 0.0000 0.5000
Te1 Te 0.1661 0.5000 0.3094
```

Calculated values
Formation energy from raw total energies (eV per atom): -0.50
Uncorrected energy (eV per atom): -4.83

---

## K3NiGe (PBE)

Data for an optimized crystal structure of K3NiGe.

CIF file:
```
data_K3NiGe
_chemical_formula_sum 'K3 Ni1 Ge1'
_symmetry_space_group_name_H-M 'P m -3 m'
_symmetry_Int_Tables_number 221
_symmetry_space_group_name_Hall '-P 4 2 3'
_cell_length_a 6.4280
_cell_length_b 6.4280
_cell_length_c 6.4280
_cell_angle_alpha 90.00
_cell_angle_beta 90.00
_cell_angle_gamma 90.00
loop_
_atom_site_label
_atom_site_type_symbol
_atom_site_fract_x
_atom_site_fract_y
_atom_site_fract_z
K1 K 0.0000 0.0000 0.5000
Ni1 Ni 0.5000 0.5000 0.5000
Ge1 Ge 0.0000 0.0000 0.0000
```

Calculated values
E_form (eV/atom): 0.802
Uncorrected energy (eV per atom): -1.94

---

## Ba3IO6 (PBE)

Data for an optimized crystal structure of Ba3IO6.

CIF file:
```
data_Ba3IO6
_chemical_formula_sum 'Ba18 I6 O36'
_symmetry_space_group_name_H-M 'R -3'
_symmetry_Int_Tables_number 148
_symmetry_space_group_name_Hall '-R 3'
_cell_length_a 10.5705
_cell_length_b 10.5705
_cell_length_c 12.4074
_cell_angle_alpha 90.00
_cell_angle_beta 90.00
_cell_angle_gamma 120.00
loop_
_atom_site_label
_atom_site_type_symbol
_atom_site_fract_x
_atom_site_fract_y
_atom_site_fract_z
Ba1 Ba 0.0359 0.7630 0.2109
I1 I 0.0000 0.0000 0.0000
I2 I 0.0000 0.0000 0.5000
O1 O 0.0211 0.8640 0.9095
O2 O 0.0300 0.8433 0.4083
```

Calculated values
Relative energy among the computed polymorphs (meV per atom): 0
Formation energy from raw total energies (eV per atom): -1.86
Uncorrected energy (eV per atom): -5.56

---

## Th3SiPt12 (PBE)

Data for an optimized crystal structure of Th3SiPt12.

CIF file:
```
data_Th3SiPt12
_chemical_formula_sum 'Th3 Si1 Pt12'
_symmetry_space_group_name_H-M 'P 4/m m m'
_symmetry_Int_Tables_number 123
_symmetry_space_group_name_Hall '-P 4 2'
_cell_length_a 4.2058
_cell_length_b 4.2058
_cell_length_c 16.2990
_cell_angle_alpha 90.00
_cell_angle_beta 90.00
_cell_angle_gamma 90.00
loop_
_atom_site_label
_atom_site_type_symbol
_atom_site_fract_x
_atom_site_fract_y
_atom_site_fract_z
Th1 Th 0.0000 0.0000 0.0000
Th2 Th 0.0000 0.0000 0.2621
Si1 Si 0.0000 0.0000 0.5000
Pt1 Pt 0.0000 0.5000 0.1303
Pt2 Pt 0.0000 0.5000 0.3928
Pt3 Pt 0.5000 0.5000 0.0000
Pt4 Pt 0.5000 0.5000 0.2613
Pt5 Pt 0.5000 0.5000 0.5000
```

Calculated values
Formation energy from raw total energies (eV per atom): -0.88
Uncorrected energy (eV per atom): -7.14

---

## Sn3GePd (PBE)

Data for an optimized crystal structure of Sn3GePd.

CIF file:
```
data_Sn3GePd
_chemical_formula_sum 'Sn3 Ge1 Pd1'
_symmetry_space_group_name_H-M 'P m -3 m'
_symmetry_Int_Tables_number 221
_symmetry_space_group_name_Hall '-P 4 2 3'
_cell_length_a 5.2833
_cell_length_b 5.2833
_cell_length_c 5.2833
_cell_angle_alpha 90.00
_cell_angle_beta 90.00
_cell_angle_gamma 90.00
loop_
_atom_site_label
_atom_site_type_symbol
_atom_site_fract_x
_atom_site_fract_y
_atom_site_fract_z
Sn1 Sn 0.0000 0.0000 0.5000
Ge1 Ge 0.0000 0.0000 0.0000
Pd1 Pd 0.5000 0.5000 0.5000
```

Calculated values
Relative energy among the computed polymorphs (meV per atom): 430
E_form (eV/atom): 0.665
Uncorrected energy (eV per atom): -3.70

---

## BeNbAlW2 (PBE)

Data for an optimized crystal structure of BeNbAlW2.

CIF file:
```
data_BeNbAlW2
_chemical_formula_sum 'Be1 Nb1 Al1 W2'
_symmetry_space_group_name_H-M 'P 4/m m m'
_symmetry_Int_Tables_number 123
_symmetry_space_group_name_Hall '-P 4 2'
_cell_length_a 4.6411
_cell_length_b 4.6411
_cell_length_c 3.9023
_cell_angle_alpha 90.00
_cell_angle_beta 90.00
_cell_angle_gamma 90.00
loop_
_atom_site_label
_atom_site_type_symbol
_atom_site_fract_x
_atom_site_fract_y
_atom_site_fract_z
Be1 Be 0.0000 0.0000 0.0000
Nb1 Nb 0.5000 0.5000 0.0000
Al1 Al 0.0000 0.0000 0.5000
W1 W 0.0000 0.5000 0.5000
```

Calculated values
Relative energy among the computed polymorphs (meV per atom): 0
E_form (eV/atom): 1.284
Uncorrected energy (eV per atom): -7.41

---

## NbInPCl2 (PBE)

Data for an optimized crystal structure of NbInPCl2.

CIF file:
```
data_NbInPCl2
_chemical_formula_sum 'Nb1 In1 P1 Cl2'
_symmetry_space_group_name_H-M 'P 4/m m m'
_symmetry_Int_Tables_number 123
_symmetry_space_group_name_Hall '-P 4 2'
_cell_length_a 5.0128
_cell_length_b 5.0128
_cell_length_c 4.9096
_cell_angle_alpha 90.00
_cell_angle_beta 90.00
_cell_angle_gamma 90.00
loop_
_atom_site_label
_atom_site_type_symbol
_atom_site_fract_x
_atom_site_fract_y
_atom_site_fract_z
Nb1 Nb 0.0000 0.0000 0.0000
In1 In 0.5000 0.5000 0.5000
P1 P 0.0000 0.0000 0.5000
Cl1 Cl 0.0000 0.5000 0.0000
```

Calculated values
Relative energy among the computed polymorphs (meV per atom): 0
Formation energy from raw total energies (eV per atom): -0.41
Uncorrected energy (eV per atom): -4.79

---

## Hf2ScRh3 (PBE)

Data for an optimized crystal structure of Hf2ScRh3.

CIF file:
```
data_Hf2ScRh3
_chemical_formula_sum 'Hf4 Sc2 Rh6'
_symmetry_space_group_name_H-M 'P -3 m 1'
_symmetry_Int_Tables_number 164
_symmetry_space_group_name_Hall '-P 3 2"'
_cell_length_a 4.6113
_cell_length_b 4.6113
_cell_length_c 11.2622
_cell_angle_alpha 90.00
_cell_angle_beta 90.00
_cell_angle_gamma 120.00
loop_
_atom_site_label
_atom_site_type_symbol
_atom_site_fract_x
_atom_site_fract_y
_atom_site_fract_z
Hf1 Hf 0.0000 0.0000 0.0000
Hf2 Hf 0.0000 0.0000 0.5000
Hf3 Hf 0.3333 0.6667 0.1696
Sc1 Sc 0.3333 0.6667 0.6659
Rh1 Rh 0.0000 0.0000 0.2481
Rh2 Rh 0.3333 0.6667 0.4172
Rh3 Rh 0.3333 0.6667 0.9194
```

Calculated values
Relative energy among the computed polymorphs (meV per atom): 10
E_form (eV/atom): -0.928
Uncorrected energy (eV per atom): -8.98

---

What size of the total moment values result from the calculations? In sequence: 15.386 0.000 0.923 5.993 0.000 3.000 0.000 0.000 0.000 0.000 0.207 0.000 μB per cell.